1.
Entry from Alexandria via LeMat-Bulk: crystalline MnTe2P at its relaxed geometry (GGA-PBE).

Computed properties:
VASP energy	-40.0	eV for the cell shown
M_tot	1.0914	μB/atom
formation energy (no corrections)	0.212	eV per atom

Structure (CIF):
```
data_MnTe2P
_chemical_formula_sum 'Mn2 Te4 P2'
_cell_length_a 7.591
_cell_length_b 4.034
_cell_length_c 7.259
_cell_angle_alpha 90.00
_cell_angle_beta 105.26
_cell_angle_gamma 90.00
_symmetry_space_group_name_H-M 'C 1 m 1'
_symmetry_Int_Tables_number 8
_symmetry_space_group_name_Hall 'C -2y'
loop_
_atom_site_label
_atom_site_type_symbol
_atom_site_fract_x
_atom_site_fract_y
_atom_site_fract_z
_atom_site_occupancy
Mn1 Mn 0.000 0.000 0.000 1
Te1 Te 0.125 0.500 0.799 1
Te2 Te 0.444 0.000 0.237 1
P1 P 0.231 0.500 0.499 1
```

2.
Entry from Alexandria via LeMat-Bulk: crystalline Mn3TeBr at its relaxed geometry (GGA-PBE).

Computed properties:
VASP energy	-28.1	eV for the cell shown
M_tot	2.4054	μB/atom
formation energy (no corrections)	0.836	eV per atom

Structure (CIF):
```
data_Mn3TeBr
_chemical_formula_sum 'Mn3 Te1 Br1'
_cell_length_a 4.804
_cell_length_b 4.804
_cell_length_c 4.804
_cell_angle_alpha 90.00
_cell_angle_beta 90.00
_cell_angle_gamma 90.00
_symmetry_space_group_name_H-M 'P m -3 m'
_symmetry_Int_Tables_number 221
_symmetry_space_group_name_Hall '-P 4 2 3'
loop_
_atom_site_label
_atom_site_type_symbol
_atom_site_fract_x
_atom_site_fract_y
_atom_site_fract_z
_atom_site_occupancy
Mn1 Mn 0.000 0.000 0.500 1
Te1 Te 0.500 0.500 0.500 1
Br1 Br 0.000 0.000 0.000 1
```

3.
Entry from Alexandria via LeMat-Bulk: crystalline DyReTc2 at its relaxed geometry (GGA-PBE).

Computed properties:
VASP energy	-274.4	eV for the cell shown
M_tot	0.0000	μB/atom

Structure (CIF):
```
data_DyReTc2
_chemical_formula_sum 'Dy8 Re8 Tc16'
_cell_length_a 6.677
_cell_length_b 6.694
_cell_length_c 17.093
_cell_angle_alpha 90.00
_cell_angle_beta 90.00
_cell_angle_gamma 90.00
_symmetry_space_group_name_H-M 'F d d d'
_symmetry_Int_Tables_number 70
loop_
_symmetry_equiv_pos_as_xyz
'x,y,z'
'-x,-y,-z'
'-x+1/4,-y+1/4,z'
'x+1/4,y+1/4,-z'
'x,-y+1/4,-z+1/4'
'-x,y+1/4,z+1/4'
'-x+1/4,y,-z+1/4'
'x+1/4,-y,z+1/4'
'x,y+1/2,z+1/2'
'-x,-y+1/2,-z+1/2'
'-x+1/4,-y+3/4,z+1/2'
'x+1/4,y+3/4,-z+1/2'
'x,-y+3/4,-z+3/4'
'-x,y+3/4,z+3/4'
'-x+1/4,y+1/2,-z+3/4'
'x+1/4,-y+1/2,z+3/4'
'x+1/2,y,z+1/2'
'-x+1/2,-y,-z+1/2'
'-x+3/4,-y+1/4,z+1/2'
'x+3/4,y+1/4,-z+1/2'
'x+1/2,-y+1/4,-z+3/4'
'-x+1/2,y+1/4,z+3/4'
'-x+3/4,y,-z+3/4'
'x+3/4,-y,z+3/4'
'x+1/2,y+1/2,z'
'-x+1/2,-y+1/2,-z'
'-x+3/4,-y+3/4,z'
'x+3/4,y+3/4,-z'
'x+1/2,-y+3/4,-z+1/4'
'-x+1/2,y+3/4,z+1/4'
'-x+3/4,y+1/2,-z+1/4'
'x+3/4,-y+1/2,z+1/4'
loop_
_atom_site_label
_atom_site_type_symbol
_atom_site_fract_x
_atom_site_fract_y
_atom_site_fract_z
_atom_site_occupancy
Dy1 Dy 0.125 0.125 0.125 1
Re1 Re 0.125 0.125 0.625 1
Tc1 Tc 0.000 0.000 0.500 1
```

4.
Entry from Alexandria via LeMat-Bulk: crystalline MnAl2Zn at its relaxed geometry (GGA-PBE).

Computed properties:
VASP energy	-36.8	eV for the cell shown
M_tot	0.4988	μB/atom

Structure (CIF):
```
data_MnAl2Zn
_chemical_formula_sum 'Mn2 Al4 Zn2'
_cell_length_a 9.707
_cell_length_b 2.789
_cell_length_c 4.601
_cell_angle_alpha 90.00
_cell_angle_beta 115.01
_cell_angle_gamma 90.00
_symmetry_space_group_name_H-M 'C 1 m 1'
_symmetry_Int_Tables_number 8
_symmetry_space_group_name_Hall 'C -2y'
loop_
_atom_site_label
_atom_site_type_symbol
_atom_site_fract_x
_atom_site_fract_y
_atom_site_fract_z
_atom_site_occupancy
Mn1 Mn 0.000 0.000 0.000 1
Al1 Al 0.003 0.500 0.482 1
Al2 Al 0.240 0.500 0.078 1
Zn1 Zn 0.260 0.000 0.596 1
```

5.
Entry from Alexandria via LeMat-Bulk: crystalline SmGd2Hg at its relaxed geometry (GGA-PBE).

Computed properties:
VASP energy	-34.1	eV for the cell shown
M_tot	3.6893	μB/atom

Structure (CIF):
```
data_SmGd2Hg
_chemical_formula_sum 'Sm1 Gd2 Hg1'
_cell_length_a 3.646
_cell_length_b 3.646
_cell_length_c 9.009
_cell_angle_alpha 90.00
_cell_angle_beta 90.00
_cell_angle_gamma 90.00
_symmetry_space_group_name_H-M 'P 4/m m m'
_symmetry_Int_Tables_number 123
_symmetry_space_group_name_Hall '-P 4 2'
loop_
_atom_site_label
_atom_site_type_symbol
_atom_site_fract_x
_atom_site_fract_y
_atom_site_fract_z
_atom_site_occupancy
Sm1 Sm 0.000 0.000 0.000 1
Gd1 Gd 0.500 0.500 0.279 1
Hg1 Hg 0.000 0.000 0.500 1
```

6.
Entry from Alexandria via LeMat-Bulk: crystalline NaY4TmS8 at its relaxed geometry (GGA-PBE).

Computed properties:
VASP energy	-276.5	eV for the cell shown
M_tot	0.0000	μB/atom
formation energy (no corrections)	-1.964	eV per atom

Structure (CIF):
```
data_NaY4TmS8
_chemical_formula_sum 'Na3 Y12 Tm3 S24'
_cell_length_a 8.1033
_cell_length_b 8.1033
_cell_length_c 19.7158
_cell_angle_alpha 90.00
_cell_angle_beta 90.00
_cell_angle_gamma 120.00
_symmetry_space_group_name_H-M 'R 3 m'
_symmetry_Int_Tables_number 160
_symmetry_space_group_name_Hall 'R 3 -2"'
loop_
_atom_site_label
_atom_site_type_symbol
_atom_site_fract_x
_atom_site_fract_y
_atom_site_fract_z
_atom_site_occupancy
Na1 Na 0.0000 0.0000 0.0000 1
Y1 Y 0.0000 0.0000 0.2486 1
Y2 Y 0.1727 0.3453 0.4559 1
Tm1 Tm 0.0000 0.0000 0.6288 1
S1 S 0.0000 0.0000 0.3822 1
S2 S 0.0000 0.0000 0.8635 1
S3 S 0.0312 0.5156 0.3765 1
S4 S 0.1787 0.3574 0.2058 1
```

7.
Entry from Alexandria via LeMat-Bulk: crystalline Ho8As3PSe4 at its relaxed geometry (GGA-PBE).

Computed properties:
VASP energy	-291.9	eV for the cell shown
M_tot	0.0000	μB/atom
formation energy (no corrections)	-1.711	eV per atom

Structure (CIF):
```
data_Ho8As3PSe4
_chemical_formula_sum 'Ho24 As9 P3 Se12'
_cell_length_a 8.1187
_cell_length_b 8.1187
_cell_length_c 20.0447
_cell_angle_alpha 90.00
_cell_angle_beta 90.00
_cell_angle_gamma 120.00
_symmetry_space_group_name_H-M 'R -3 m'
_symmetry_Int_Tables_number 166
_symmetry_space_group_name_Hall '-R 3 2"'
loop_
_atom_site_label
_atom_site_type_symbol
_atom_site_fract_x
_atom_site_fract_y
_atom_site_fract_z
_atom_site_occupancy
Ho1 Ho 0.0000 0.0000 0.2459 1
Ho2 Ho 0.0059 0.5030 0.2446 1
As1 As 0.0000 0.5000 0.5000 1
P1 P 0.0000 0.0000 0.5000 1
Se1 Se 0.0000 0.0000 0.0000 1
Se2 Se 0.0000 0.5000 0.0000 1
```

8.
Entry from Alexandria via LeMat-Bulk: crystalline TmZnCdHg at its relaxed geometry (GGA-PBE).

Computed properties:
VASP energy	-32.3	eV for the cell shown
M_tot	0.0000	μB/atom

Structure (CIF):
```
data_TmZnCdHg
_chemical_formula_sum 'Tm4 Zn4 Cd4 Hg4'
_cell_length_a 6.981
_cell_length_b 6.981
_cell_length_c 6.981
_cell_angle_alpha 90.00
_cell_angle_beta 90.00
_cell_angle_gamma 90.00
_symmetry_space_group_name_H-M 'F -4 3 m'
_symmetry_Int_Tables_number 216
_symmetry_space_group_name_Hall 'F -4 2 3'
loop_
_atom_site_label
_atom_site_type_symbol
_atom_site_fract_x
_atom_site_fract_y
_atom_site_fract_z
_atom_site_occupancy
Tm1 Tm 0.000 0.000 0.000 1
Zn1 Zn 0.250 0.250 0.750 1
Cd1 Cd 0.000 0.000 0.500 1
Hg1 Hg 0.250 0.250 0.250 1
```

9.
Entry from Alexandria via LeMat-Bulk: crystalline TlRe2Mo at its relaxed geometry (GGA-PBE).

Computed properties:
VASP energy	-138.8	eV for the cell shown
M_tot	0.0000	μB/atom

Structure (CIF):
```
data_TlRe2Mo
_chemical_formula_sum 'Tl4 Re8 Mo4'
_cell_length_a 6.453
_cell_length_b 6.453
_cell_length_c 6.453
_cell_angle_alpha 90.00
_cell_angle_beta 90.00
_cell_angle_gamma 90.00
_symmetry_space_group_name_H-M 'F m -3 m'
_symmetry_Int_Tables_number 225
_symmetry_space_group_name_Hall '-F 4 2 3'
loop_
_atom_site_label
_atom_site_type_symbol
_atom_site_fract_x
_atom_site_fract_y
_atom_site_fract_z
_atom_site_occupancy
Tl1 Tl 0.000 0.000 0.000 1
Re1 Re 0.250 0.250 0.250 1
Mo1 Mo 0.000 0.000 0.500 1
```

10.
Entry from Alexandria via LeMat-Bulk: crystalline Sc2SiRu at its relaxed geometry (GGA-PBE).

Computed properties:
VASP energy	-59.9	eV for the cell shown
M_tot	0.0000	μB/atom
formation energy (no corrections)	-0.650	eV per atom

Structure (CIF):
```
data_Sc2SiRu
_chemical_formula_sum 'Sc4 Si2 Ru2'
_cell_length_a 4.172
_cell_length_b 3.412
_cell_length_c 10.132
_cell_angle_alpha 90.00
_cell_angle_beta 90.00
_cell_angle_gamma 90.00
_symmetry_space_group_name_H-M 'A m m 2'
_symmetry_Int_Tables_number 38
_symmetry_space_group_name_Hall 'A 2 -2'
loop_
_atom_site_label
_atom_site_type_symbol
_atom_site_fract_x
_atom_site_fract_y
_atom_site_fract_z
_atom_site_occupancy
Sc1 Sc 0.000 0.000 0.000 1
Sc2 Sc 0.500 0.000 0.299 1
Si1 Si 0.500 0.000 0.582 1
Ru1 Ru 0.000 0.000 0.721 1
```

11.
Entry from Alexandria via LeMat-Bulk: crystalline TlZnFeGe2 at its relaxed geometry (GGA-PBE).

Computed properties:
VASP energy	-20.6	eV for the cell shown
M_tot	0.1695	μB/atom

Structure (CIF):
```
data_TlZnFeGe2
_chemical_formula_sum 'Tl1 Zn1 Fe1 Ge2'
_cell_length_a 4.566
_cell_length_b 4.566
_cell_length_c 4.871
_cell_angle_alpha 90.00
_cell_angle_beta 90.00
_cell_angle_gamma 90.00
_symmetry_space_group_name_H-M 'P 4/m m m'
_symmetry_Int_Tables_number 123
_symmetry_space_group_name_Hall '-P 4 2'
loop_
_atom_site_label
_atom_site_type_symbol
_atom_site_fract_x
_atom_site_fract_y
_atom_site_fract_z
_atom_site_occupancy
Tl1 Tl 0.000 0.000 0.000 1
Zn1 Zn 0.500 0.500 0.000 1
Fe1 Fe 0.500 0.500 0.500 1
Ge1 Ge 0.000 0.500 0.500 1
```